Mg2SiO4 | meta-GGA SCAN | PBEsol geometry Values from VASP.

Output
The total magnetization is 0.0 Bohr magnetons per cell. The calculation puts the distance to the lowest polymorph of the same formula at 0 meV per atom. The value obtained for the density of states at the Fermi level is 0.000 states/eV/f.u.

The structure in Quantum ESPRESSO input format:
```
&SYSTEM
  ibrav = 0, nat = 28, ntyp = 3
/
ATOMIC_SPECIES
O 16.00 O.upf
Si 28.09 Si.upf
Mg 24.30 Mg.upf
CELL_PARAMETERS angstrom
-1.908 -3.532 -2.574
4.954 -3.268 0.813
-4.033 -4.003 8.480
ATOMIC_POSITIONS crystal
O 0.276 0.968 0.837
O 0.224 0.532 0.337
O 0.732 0.750 0.408
O 0.276 0.532 0.837
O 0.232 0.250 0.092
O 0.722 0.250 0.946
O 0.724 0.032 0.163
O 0.278 0.750 0.054
O 0.724 0.468 0.163
O 0.776 0.032 0.663
O 0.776 0.468 0.663
O 0.268 0.250 0.592
O 0.224 0.968 0.337
O 0.768 0.750 0.908
O 0.778 0.250 0.446
O 0.222 0.750 0.554
Si 0.427 0.750 0.906
Si 0.927 0.250 0.594
Si 0.573 0.250 0.094
Si 0.073 0.750 0.406
Mg 0.009 0.250 0.277
Mg 0.491 0.250 0.777
Mg 0.991 0.750 0.723
Mg 0.000 0.500 0.000
Mg 0.500 0.500 0.500
Mg 0.509 0.750 0.223
Mg 0.500 0.000 0.500
Mg 0.000 0.000 0.000
```